Material: GdZr
Method: DFT, PBE
State: optimized geometry

a = 6.0540 Å, b = 13.8039 Å, c = 5.4667 Å
α = 90.00°, β = 90.00°, γ = 90.00°
Last column: nearest neighbours and their distance in Å.
Fractional positions:
Gd1 0.0283 0.2315 0.0000  7 Zr 3.20-3.41, 3 Gd 3.41-3.52
Gd2 0.4869 0.3750 0.0000  6 Zr 3.30-3.39, 4 Gd 3.41-3.55
Gd3 0.0283 0.5185 0.0000  7 Zr 3.20-3.41, 3 Gd 3.41-3.52
Gd4 0.4698 0.8750 0.0000  6 Zr 3.48-3.54, 6 Gd 3.52-3.55
Gd5 0.3081 0.0188 0.5000  7 Zr 3.24-3.43, 3 Gd 3.44-3.52
Gd6 0.8622 0.3750 0.5000  6 Zr 3.47-3.55, 6 Gd 3.52-3.55
Gd7 0.3081 0.7312 0.5000  7 Zr 3.24-3.43, 3 Gd 3.44-3.52
Gd8 0.8448 0.8750 0.5000  6 Zr 3.33-3.37, 4 Gd 3.44-3.55
Zr1 0.9674 0.0015 0.0000  7 Gd 3.20-3.51, 4 Zr 3.22-3.49
Zr2 0.5247 0.1302 0.0000  5 Zr 3.22-3.36, 6 Gd 3.31-3.54
Zr3 0.5247 0.6198 0.0000  5 Zr 3.22-3.36, 6 Gd 3.31-3.54
Zr4 0.9674 0.7485 0.0000  7 Gd 3.20-3.51, 4 Zr 3.22-3.49
Zr5 0.8103 0.1187 0.5000  5 Zr 3.24-3.32, 6 Gd 3.31-3.55
Zr6 0.3626 0.2520 0.5000  7 Gd 3.24-3.47, 4 Zr 3.28-3.40
Zr7 0.3626 0.4980 0.5000  7 Gd 3.24-3.47, 4 Zr 3.28-3.40
Zr8 0.8103 0.6313 0.5000  5 Zr 3.24-3.32, 6 Gd 3.31-3.55

Calculated values
The size of the total moment comes out at 0.0 μB per formula unit. As for the calculated formation energy: 0.091 eV per atom. For the electronic total energy, the calculation gives -6.510 eV/atom.